Density functional theory data (GGA-PBE) for crystalline HgPt2PbO at its relaxed geometry.

The structure in CIF format:
```
data_HgPt2PbO
_chemical_formula_sum 'Hg1 Pt2 Pb1 O1'
_space_group_name_H-M_alt 'P 1'
_space_group_IT_number 1
_space_group_name_Hall 'P 1'
_cell_length_a 5.2033
_cell_length_b 4.1702
_cell_length_c 5.2033
_cell_angle_alpha 90.00
_cell_angle_beta 90.00
_cell_angle_gamma 90.00
loop_
_atom_site_label
_atom_site_fract_x
_atom_site_fract_y
_atom_site_fract_z
Hg1 0.5000 0.5000 0.5000
Pt1 0.5000 0.0000 0.0000
Pt2 0.0000 0.0000 0.5000
Pb1 0.0000 0.0000 0.0000
O1 0.0000 0.5000 0.0000
```

## Properties
As for the energy relative to the elements, uncorrected: 0.666 eV/atom. For the density of states at the Fermi level, the calculation gives 2.525 states/eV per cell.